NdErCr2O8 after structural relaxation. Source: Alexandria, functional PBE with a Hubbard U.

The space group is I-4m2 (No. 119) and the conventional cell measures 7.303, 7.303 and 6.343 Å, with angles of 90.00, 90.00 and 90.00 degrees. Symmetry generates all atoms from Nd at (0.000, 0.000, 0.000), Er at (0.000, 0.500, 0.250), Cr at (0.000, 0.000, 0.500), Cr at (0.000, 0.500, 0.750), O at (0.000, 0.187, 0.332) and O at (0.000, 0.321, 0.927).

The calculation puts the total energy at -7.6364 eV/atom. The value obtained for the magnetic moment is 4.00 μB per cell. The theoretical density comes out at 5.3 g/cm³.